# 1
KSn2Hg | PBE | relaxed

Lattice parameters (Å, degrees): 11.7656 11.7656 11.7656 156.11 156.11 34.05
Atoms (fractional coordinates):
K: 0.0000 0.0000 0.0000
K: 0.7500 0.2500 0.5000
Sn: 0.1936 0.6250 0.0686
Sn: 0.3750 0.4436 0.5686
Sn: 0.5564 0.1250 0.9314
Sn: 0.8750 0.8064 0.4314
Hg: 0.2500 0.7500 0.5000
Hg: 0.5000 0.5000 0.0000

Summary:
DOS at the Fermi energy	4.4	states/eV per cell
formation energy	0.010	eV per atom

***

# 2
TiBr3 | PBE | relaxed

Lattice parameters (Å, degrees): 5.0426 5.0426 5.0426 60.00 60.00 60.00
Atoms (fractional coordinates):
Ti: 0.0000 0.0000 0.0000
Br: 0.2500 0.2500 0.2500
Br: 0.5000 0.5000 0.5000
Br: 0.7500 0.7500 0.7500

Summary:
DOS at the Fermi energy	4.1	states/eV per cell
energy relative to the elements, uncorrected	-0.14	eV/atom

***

# 3
Li5P4 | PBE | relaxed

Lattice parameters (Å, degrees): 4.8761 4.8761 8.4881 107.69 107.69 48.09
Atoms (fractional coordinates):
Li: 0.0000 0.0000 0.0000
Li: 0.0961 0.0961 0.3822
Li: 0.2443 0.2443 0.8439
Li: 0.7557 0.7557 0.1561
Li: 0.9039 0.9039 0.6178
P: 0.3887 0.3887 0.3910
P: 0.4563 0.4563 0.1653
P: 0.5437 0.5437 0.8347
P: 0.6113 0.6113 0.6090

Summary:
DOS at the Fermi energy	1.3	states/eV per cell
energy above the most stable polymorph in this dataset	0.000	eV/atom
formation energy	-0.548	eV per atom

***

Total moment / μB/cell: 0.000, 1.000, 0.000